*a*
Entry from Alexandria via LeMat-Bulk: a relaxed structure of SrW3N (PBE).

abc: 4.343 4.343 4.343
angles: 90.00 90.00 90.00
Space group Pm-3m (No. 221)
One atom of each set of equivalent atoms:
1 Sr 0.000 0.000 0.000 (multiplicity 1)
2 W 0.000 0.500 0.500 (multiplicity 3)
3 N 0.500 0.500 0.500 (multiplicity 1)

***

*b*
Entry from Alexandria via LeMat-Bulk: a relaxed structure of SrW3N (PBE).

abc: 4.790 4.790 4.790
angles: 90.00 90.00 90.00
Space group Pm-3m (No. 221)
One atom of each set of equivalent atoms:
1 Sr 0.000 0.000 0.000 (multiplicity 1)
2 W 0.000 0.000 0.500 (multiplicity 3)
3 N 0.500 0.500 0.500 (multiplicity 1)

***

Quick one: least stable of them? *b*

***

*a*
Entry from Alexandria via LeMat-Bulk: a relaxed structure of Sr3YN (PBE).

abc: 5.474 5.474 5.474
angles: 90.00 90.00 90.00
Space group Pm-3m (No. 221)
One atom of each set of equivalent atoms:
1 Sr 0.000 0.000 0.500 (multiplicity 3)
2 Y 0.500 0.500 0.500 (multiplicity 1)
3 N 0.000 0.000 0.000 (multiplicity 1)

***

*b*
Entry from Alexandria via LeMat-Bulk: a relaxed structure of Sr3YN (PBE).

abc: 6.401 6.401 6.401
angles: 90.00 90.00 90.00
Space group Pm-3m (No. 221)
One atom of each set of equivalent atoms:
1 Sr 0.000 0.000 0.500 (multiplicity 3)
2 Y 0.000 0.000 0.000 (multiplicity 1)
3 N 0.500 0.500 0.500 (multiplicity 1)

***

Quick one: least stable of them? *b*

***

*a*
Entry from Alexandria via LeMat-Bulk: a relaxed structure of Sr6Zn2N (PBE).

abc: 14.601 4.423 11.942
angles: 90.00 110.11 90.00
Space group C2/m (No. 12)
One atom of each set of equivalent atoms:
1 Sr 0.013 0.000 0.297 (multiplicity 4)
2 Sr 0.151 0.500 0.055 (multiplicity 4)
3 Sr 0.175 0.000 0.596 (multiplicity 4)
4 Zn 0.184 0.500 0.804 (multiplicity 4)
5 N 0.000 0.000 0.500 (multiplicity 2)

***

*b*
Entry from Alexandria via LeMat-Bulk: a relaxed structure of Sr6Zn2N (PBE).

abc: 7.423 8.123 12.763
angles: 90.00 123.57 90.00
Space group P2_1/c (No. 14)
One atom of each set of equivalent atoms:
1 Sr 0.125 0.026 0.234 (multiplicity 4)
2 Sr 0.211 0.716 0.052 (multiplicity 4)
3 Sr 0.345 0.169 0.051 (multiplicity 4)
4 Zn 0.284 0.091 0.748 (multiplicity 4)
5 N 0.000 0.000 0.000 (multiplicity 2)

***

Quick one: least stable of them? *a*

***

*a*
Entry from Alexandria via LeMat-Bulk: a relaxed structure of Sr3ZnN (PBE).

abc: 5.269 5.269 5.269
angles: 90.00 90.00 90.00
Space group Pm-3m (No. 221)
One atom of each set of equivalent atoms:
1 Sr 0.000 0.000 0.500 (multiplicity 3)
2 Zn 0.500 0.500 0.500 (multiplicity 1)
3 N 0.000 0.000 0.000 (multiplicity 1)

***

*b*
Entry from Alexandria via LeMat-Bulk: a relaxed structure of Sr3ZnN (PBE).

abc: 5.319 5.163 10.793
angles: 90.00 90.05 90.00
Space group P2_1/m (No. 11)
One atom of each set of equivalent atoms:
1 Sr 0.000 0.250 0.108 (multiplicity 2)
2 Sr 0.001 0.750 0.373 (multiplicity 2)
3 Sr 0.500 0.250 0.837 (multiplicity 2)
4 Zn 0.499 0.250 0.419 (multiplicity 2)
5 N 0.000 0.250 0.856 (multiplicity 2)

***

Quick one: least stable of them? *b*

***

*a*
Entry from Alexandria via LeMat-Bulk: a relaxed structure of Sr2ZnN (PBE).

abc: 3.380 3.380 7.682
angles: 90.00 90.00 90.00
Space group P4/mmm (No. 123)
One atom of each set of equivalent atoms:
1 Sr 0.000 0.000 0.185 (multiplicity 2)
2 Zn 0.500 0.500 0.500 (multiplicity 1)
3 N 0.500 0.500 0.000 (multiplicity 1)

***

*b*
Entry from Alexandria via LeMat-Bulk: a relaxed structure of Sr2ZnN (PBE).

abc: 3.7980 3.7980 28.4219
angles: 90.00 90.00 120.00
Space group R-3m (No. 166, hexagonal axes)
One atom of each set of equivalent atoms:
1 Sr 0.0000 0.0000 0.1182 (multiplicity 6)
2 Zn 0.0000 0.0000 0.0000 (multiplicity 3)
3 N 0.0000 0.0000 0.5000 (multiplicity 3)

***

Quick one: least stable of them? *a*

***

*a*
Entry from Alexandria via LeMat-Bulk: a relaxed structure of Sr2ZnN (PBE).

abc: 7.204 7.204 7.204
angles: 90.00 90.00 90.00
Space group Fm-3m (No. 225)
One atom of each set of equivalent atoms:
1 Sr 0.250 0.250 0.250 (multiplicity 8)
2 Zn 0.000 0.000 0.000 (multiplicity 4)
3 N 0.000 0.000 0.500 (multiplicity 4)

***

*b*
Entry from Alexandria via LeMat-Bulk: a relaxed structure of Sr2ZnN (PBE).

abc: 7.541 7.541 8.254
angles: 90.00 90.00 90.00
Space group I-42d (No. 122)
One atom of each set of equivalent atoms:
1 Sr 0.155 0.250 0.125 (multiplicity 8)
2 Zn 0.000 0.000 0.500 (multiplicity 4)
3 N 0.000 0.000 0.000 (multiplicity 4)

***

Quick one: least stable of them? *a*

***

*a*
Entry from Alexandria via LeMat-Bulk: a relaxed structure of SrZr3N (PBE).

abc: 5.098 5.098 5.098
angles: 90.00 90.00 90.00
Space group Pm-3m (No. 221)
One atom of each set of equivalent atoms:
1 Sr 0.000 0.000 0.000 (multiplicity 1)
2 Zr 0.000 0.000 0.500 (multiplicity 3)
3 N 0.500 0.500 0.500 (multiplicity 1)

***

*b*
Entry from Alexandria via LeMat-Bulk: a relaxed structure of SrZr3N (PBE).

abc: 4.723 4.723 4.723
angles: 90.00 90.00 90.00
Space group Pm-3m (No. 221)
One atom of each set of equivalent atoms:
1 Sr 0.000 0.000 0.000 (multiplicity 1)
2 Zr 0.000 0.500 0.500 (multiplicity 3)
3 N 0.500 0.500 0.500 (multiplicity 1)

***

Quick one: least stable of them? *a*

***

*a*
Entry from Alexandria via LeMat-Bulk: a relaxed structure of Sr3ZrN3 (PBE).

abc: 16.861 6.223 10.446
angles: 90.00 90.00 90.00
Space group Cmce (No. 64)
One atom of each set of equivalent atoms:
1 Sr 0.000 0.108 0.163 (multiplicity 8)
2 Sr 0.185 0.118 0.858 (multiplicity 16)
3 Zr 0.093 0.000 0.500 (multiplicity 8)
4 N 0.000 0.193 0.403 (multiplicity 8)
5 N 0.160 0.208 0.617 (multiplicity 16)

***

*b*
Entry from Alexandria via LeMat-Bulk: a relaxed structure of Sr3ZrN3 (PBE).

abc: 8.2239 8.2239 5.3773
angles: 90.00 90.00 120.00
Space group P6_3/m (No. 176)
One atom of each set of equivalent atoms:
1 Sr 0.1104 0.3391 0.2500 (multiplicity 6)
2 Zr 0.3333 0.6667 0.7500 (multiplicity 2)
3 N 0.1362 0.3827 0.7500 (multiplicity 6)

***

Quick one: least stable of them? *a*